(1)
The following is a GGA-PBE calculation of a relaxed structure of Hf2Ir2Rh, from Alexandria.

a b c (Å): 7.5758 7.5758 3.1239
angles (deg): 90.00 90.00 90.00
Fractional positions:
Hf  0.3388  0.8388  0.0000
Hf  0.8388  0.6612  0.0000
Hf  0.1612  0.3388  0.0000
Hf  0.6612  0.1612  0.0000
Rh  0.0000  0.0000  0.0000
Rh  0.5000  0.5000  0.0000
Ir  0.3627  0.1373  0.5000
Ir  0.6373  0.8627  0.5000
Ir  0.8627  0.3627  0.5000
Ir  0.1373  0.6373  0.5000

## Properties
ΔH_f (0 K): -546 meV per atom
N(E_F): 6.94 states/eV/cell
energy above the most stable polymorph in this dataset: 0.1342 eV per atom
space-group type: P4/mbm

***

(2)
The following is a GGA-PBE calculation of a relaxed structure of HfIr3Rh, from Alexandria.

a b c (Å): 4.6726 4.6726 4.6726
angles (deg): 90.00 90.00 90.00
Each line ends with the local moment (μB).
Fractional positions:
Ir  0.5000  0.0000  0.0000  0.05
Ir  0.0000  0.5000  0.0000  0.13
Ir  0.0000  0.0000  0.5000  0.24
Hf  0.5000  0.5000  0.5000  0.01
Rh  0.0000  0.0000  0.0000  0.28

## Properties
ΔH_f (0 K): 1376 meV per atom
N(E_F): 9.00 states/eV/cell
energy above the most stable polymorph in this dataset: 0.0000 eV per atom
space-group type: Pm-3m

***

(3)
The following is a GGA-PBE calculation of a relaxed structure of HfSnIrRh, from Alexandria.

a b c (Å): 4.2619 4.2619 4.8288
angles (deg): 116.19 116.19 90.00
Fractional positions:
Sn  0.7500  0.2500  0.5000
Rh  0.5000  0.5000  0.0000
Hf  0.2500  0.7500  0.5000
Ir  0.0000  0.0000  0.0000

## Properties
ΔH_f (0 K): -731 meV per atom
N(E_F): 0.67 states/eV/cell
space-group type: I-4m2

***

(4)
The following is a GGA-PBE calculation of a relaxed structure of TbHfIrRh, from Alexandria.

a b c (Å): 4.7447 4.7447 4.7447
angles (deg): 60.00 60.00 60.00
Fractional positions:
Rh  0.0000  0.0000  0.0000
Tb  0.2500  0.2500  0.2500
Ir  0.5000  0.5000  0.5000
Hf  0.7500  0.7500  0.7500

## Properties
ΔH_f (0 K): -827 meV per atom
N(E_F): 2.11 states/eV/cell
space-group type: F-43m

***

(5)
The following is a GGA-PBE calculation of a relaxed structure of HfTc2IrRh, from Alexandria.

a b c (Å): 4.5464 4.8438 4.5464
angles (deg): 90.00 90.00 90.00
Fractional positions:
Hf  0.5000  0.5000  0.5000
Rh  0.0000  0.0000  0.0000
Tc  0.5000  0.0000  0.0000
Tc  0.0000  0.0000  0.5000
Ir  0.0000  0.5000  0.0000

## Properties
ΔH_f (0 K): 1355 meV per atom
N(E_F): 8.77 states/eV/cell
space-group type: P4/mmm

***

(6)
The following is a GGA-PBE calculation of a relaxed structure of TmHfIrRh, from Alexandria.

a b c (Å): 4.7028 4.7028 4.7028
angles (deg): 60.00 60.00 60.00
Fractional positions:
Hf  0.2500  0.2500  0.2500
Ir  0.0000  0.0000  0.0000
Rh  0.5000  0.5000  0.5000
Tm  0.7500  0.7500  0.7500

## Properties
ΔH_f (0 K): -929 meV per atom
N(E_F): 1.76 states/eV/cell
space-group type: F-43m

***

(7)
The following is a GGA-PBE calculation of a relaxed structure of YHfIrRh, from Alexandria.

a b c (Å): 4.7408 4.7408 4.7408
angles (deg): 60.00 60.00 60.00
Fractional positions:
Y  0.7500  0.7500  0.7500
Ir  0.5000  0.5000  0.5000
Hf  0.2500  0.2500  0.2500
Rh  0.0000  0.0000  0.0000

## Properties
ΔH_f (0 K): -835 meV per atom
N(E_F): 1.84 states/eV/cell
space-group type: F-43m

***

(8)
The following is a GGA-PBE calculation of a relaxed structure of HfZnIrRh, from Alexandria.

a b c (Å): 4.4546 4.4546 4.4546
angles (deg): 60.00 60.00 60.00
Fractional positions:
Rh  0.5000  0.5000  0.5000
Zn  0.7500  0.7500  0.7500
Ir  0.0000  0.0000  0.0000
Hf  0.2500  0.2500  0.2500

## Properties
ΔH_f (0 K): -797 meV per atom
N(E_F): 0.51 states/eV/cell
space-group type: F-43m

***

(9)
The following is a GGA-PBE calculation of a relaxed structure of Hf4IrRu2, from Alexandria.

a b c (Å): 4.5581 4.5581 7.8527
angles (deg): 73.13 73.13 60.00
Fractional positions:
Hf  0.3787  0.3787  0.8638
Hf  0.6213  0.6213  0.1362
Hf  0.8719  0.8719  0.3844
Hf  0.1281  0.1281  0.6156
Ru  0.7487  0.7487  0.7540
Ru  0.2513  0.2513  0.2460
Ir  0.0000  0.0000  0.0000

## Properties
ΔH_f (0 K): -680 meV per atom
N(E_F): 3.27 states/eV/cell
space-group type: R-3m

***

(10)
The following is a GGA-PBE calculation of a relaxed structure of Hf2IrRu, from Alexandria.

a b c (Å): 4.6075 4.6075 4.6075
angles (deg): 60.00 60.00 60.00
Fractional positions:
Hf  0.2500  0.2500  0.2500
Hf  0.7500  0.7500  0.7500
Ir  0.0000  0.0000  0.0000
Ru  0.5000  0.5000  0.5000

## Properties
ΔH_f (0 K): -852 meV per atom
N(E_F): 3.36 states/eV/cell
space-group type: Fm-3m

***

(11)
The following is a GGA-PBE calculation of a relaxed structure of Hf4Ir3Ru, from Alexandria.

a b c (Å): 4.5173 4.5173 7.5745
angles (deg): 107.36 107.36 90.00
Fractional positions:
Hf  0.8757  0.8757  0.7514
Hf  0.3757  0.3757  0.7514
Hf  0.1243  0.1243  0.2486
Hf  0.6243  0.6243  0.2486
Ru  0.5000  0.0000  0.0000
Ir  0.2609  0.7609  0.5217
Ir  0.0000  0.5000  0.0000
Ir  0.7391  0.2391  0.4783

## Properties
ΔH_f (0 K): -886 meV per atom
N(E_F): 3.47 states/eV/cell
space-group type: I4/mmm

***

(12)
The following is a GGA-PBE calculation of a relaxed structure of HfIr6Ru, from Alexandria.

a b c (Å): 3.9061 5.5494 5.5494
angles (deg): 90.00 90.00 90.00
Fractional positions:
Ir  0.0000  0.7410  0.7410
Ir  0.5000  0.5000  0.0000
Ir  0.0000  0.2590  0.2590
Ir  0.0000  0.7410  0.2590
Ir  0.5000  0.0000  0.5000
Ir  0.0000  0.2590  0.7410
Ru  0.5000  0.5000  0.5000
Hf  0.5000  0.0000  0.0000

## Properties
ΔH_f (0 K): -356 meV per atom
N(E_F): 6.46 states/eV/cell
space-group type: P4/mmm

***

(13)
The following is a GGA-PBE calculation of a relaxed structure of HfIr2Ru, from Alexandria.

a b c (Å): 3.8759 3.8759 9.5331
angles (deg): 78.27 78.27 90.00
Fractional positions:
Ru  0.2500  0.7500  0.5000
Ru  0.5000  0.5000  0.0000
Ir  0.6053  0.1250  0.2500
Ir  0.3750  0.3947  0.7500
Ir  0.8750  0.8553  0.7500
Ir  0.1447  0.6250  0.2500
Hf  0.7500  0.2500  0.5000
Hf  0.0000  0.0000  0.0000

## Properties
ΔH_f (0 K): 33 meV per atom
N(E_F): 7.05 states/eV/cell
energy above the most stable polymorph in this dataset: 0.6489 eV per atom
space-group type: I-42d

***

(14)
The following is a GGA-PBE calculation of a relaxed structure of HfIr2Ru, from Alexandria.

a b c (Å): 4.5119 4.5119 4.5119
angles (deg): 60.00 60.00 60.00
Each line ends with the local moment (μB).
Fractional positions:
Ru  0.0000  0.0000  0.0000  1.10
Ir  0.7500  0.7500  0.7500  0.49
Ir  0.2500  0.2500  0.2500  0.49
Hf  0.5000  0.5000  0.5000  -0.04

## Properties
ΔH_f (0 K): -129 meV per atom
N(E_F): 6.34 states/eV/cell
energy above the most stable polymorph in this dataset: 0.4865 eV per atom
space-group type: Fm-3m

***

(15)
The following is a GGA-PBE calculation of a relaxed structure of Hf2IrRu, from Alexandria.

a b c (Å): 4.3029 4.3029 9.1219
angles (deg): 76.36 76.36 90.00
Fractional positions:
Ru  0.2500  0.7500  0.5000
Ru  0.5000  0.5000  0.0000
Hf  0.1279  0.6250  0.2500
Hf  0.3750  0.3779  0.7500
Hf  0.8750  0.8721  0.7500
Hf  0.6221  0.1250  0.2500
Ir  0.0000  0.0000  0.0000
Ir  0.7500  0.2500  0.5000

## Properties
ΔH_f (0 K): 189 meV per atom
N(E_F): 10.11 states/eV/cell
space-group type: I-42d

***

(16)
The following is a GGA-PBE calculation of a relaxed structure of Hf2IrRu, from Alexandria.

a b c (Å): 3.2700 3.2700 6.4852
angles (deg): 90.00 90.00 90.00
Fractional positions:
Ru  0.5000  0.5000  0.0000
Ir  0.5000  0.5000  0.5000
Hf  0.0000  0.0000  0.2488
Hf  0.0000  0.0000  0.7512

## Properties
ΔH_f (0 K): -855 meV per atom
N(E_F): 2.68 states/eV/cell
space-group type: P4/mmm

***

(17)
The following is a GGA-PBE calculation of a relaxed structure of Hf2IrRu, from Alexandria.

a b c (Å): 3.2721 4.6023 9.2000
angles (deg): 90.00 90.00 90.00
Fractional positions:
Hf  0.0000  0.7500  0.8771
Hf  0.0000  0.2500  0.1229
Hf  0.0000  0.7500  0.3738
Hf  0.0000  0.2500  0.6262
Ru  0.5000  0.2500  0.8750
Ru  0.5000  0.7500  0.1250
Ir  0.5000  0.2500  0.3729
Ir  0.5000  0.7500  0.6271

## Properties
ΔH_f (0 K): -849 meV per atom
N(E_F): 6.54 states/eV/cell
space-group type: Pmma

***

(18)
The following is a GGA-PBE calculation of a relaxed structure of HfIr2Ru, from Alexandria.

a b c (Å): 3.9441 3.9696 3.9696
angles (deg): 90.00 90.00 90.00
Fractional positions:
Ru  0.5000  0.0000  0.0000
Hf  0.5000  0.5000  0.5000
Ir  0.0000  0.5000  0.0000
Ir  0.0000  0.0000  0.5000

## Properties
ΔH_f (0 K): -616 meV per atom
N(E_F): 5.33 states/eV/cell
energy above the most stable polymorph in this dataset: 0.0000 eV per atom
space-group type: P4/mmm

***

(19)
The following is a GGA-PBE calculation of a relaxed structure of Hf3IrRu, from Alexandria.

a b c (Å): 4.8499 4.8499 4.8499
angles (deg): 90.00 90.00 90.00
Fractional positions:
Hf  0.0000  0.5000  0.0000
Hf  0.0000  0.0000  0.5000
Hf  0.5000  0.0000  0.0000
Ru  0.0000  0.0000  0.0000
Ir  0.5000  0.5000  0.5000

## Properties
ΔH_f (0 K): 504 meV per atom
N(E_F): 5.76 states/eV/cell
energy above the most stable polymorph in this dataset: 0.0000 eV per atom
space-group type: Pm-3m

***

(20)
The following is a GGA-PBE calculation of a relaxed structure of HfIr3Ru, from Alexandria.

a b c (Å): 4.6616 4.6616 4.6616
angles (deg): 90.00 90.00 90.00
Fractional positions:
Ir  0.0000  0.5000  0.0000
Ir  0.0000  0.0000  0.5000
Ir  0.5000  0.0000  0.0000
Hf  0.5000  0.5000  0.5000
Ru  0.0000  0.0000  0.0000

## Properties
ΔH_f (0 K): 1275 meV per atom
N(E_F): 6.43 states/eV/cell
energy above the most stable polymorph in this dataset: 0.0000 eV per atom
space-group type: Pm-3m